Computed, not measured: NaCd2Ni2 after structural relaxation at the PBE level of DFT.

Output
DFT formation energy (eV/f.u.): 1.00
Electronic total energy (eV/atom): -2.741
Total moment (μB per formula unit): 0.000

Structure (CIF):
```
data_NaCd2Ni2
_chemical_formula_sum 'Na2 Cd4 Ni4'
_cell_length_a 3.700
_cell_length_b 3.700
_cell_length_c 13.660
_cell_angle_alpha 90.00
_cell_angle_beta 90.00
_cell_angle_gamma 90.00
_space_group_name_H-M_alt 'I 4/m m m'
_space_group_IT_number 139
_space_group_name_Hall '-I 4 2'
loop_
_atom_site_label
_atom_site_fract_x
_atom_site_fract_y
_atom_site_fract_z
_atom_site_occupancy
Na1 0.000 0.000 0.000 1
Cd1 0.000 0.000 0.387 1
Ni1 0.000 0.500 0.250 1
```

***

Computed, not measured: AlTe2Rh after structural relaxation at the PBE level of DFT.

Output
Raw formation energy (eV per atom): 0.13
Electronic total energy (eV/atom): -4.218
Total moment (μB per formula unit): 0.000

Structure (CIF):
```
data_AlTe2Rh
_chemical_formula_sum 'Al1 Te2 Rh1'
_cell_length_a 3.265
_cell_length_b 3.452
_cell_length_c 7.544
_cell_angle_alpha 90.00
_cell_angle_beta 90.00
_cell_angle_gamma 90.00
_space_group_name_H-M_alt 'P m m m'
_space_group_IT_number 47
_space_group_name_Hall '-P 2 2'
loop_
_atom_site_label
_atom_site_fract_x
_atom_site_fract_y
_atom_site_fract_z
_atom_site_occupancy
Al1 0.000 0.000 0.000 1
Te1 0.500 0.500 0.277 1
Rh1 0.000 0.000 0.500 1
```

***

Computed, not measured: Co2AsPd2 after structural relaxation at the PBE level of DFT.

Output
DFT formation energy (eV/f.u.): 0.10
Electronic total energy (eV/atom): -5.829
Total moment (μB per formula unit): 2.662

Structure (CIF):
```
data_Co2AsPd2
_chemical_formula_sum 'Co4 As2 Pd4'
_cell_length_a 5.931
_cell_length_b 5.931
_cell_length_c 4.008
_cell_angle_alpha 90.00
_cell_angle_beta 90.00
_cell_angle_gamma 90.00
_space_group_name_H-M_alt 'P 4/m b m'
_space_group_IT_number 127
_space_group_name_Hall '-P 4 2ab'
loop_
_atom_site_label
_atom_site_fract_x
_atom_site_fract_y
_atom_site_fract_z
_atom_site_occupancy
Co1 0.135 0.365 0.000 1
As1 0.000 0.000 0.000 1
Pd1 0.165 0.665 0.500 1
```

***

Which value of total moment does entry 1 give?
0.000 μB per formula unit

***

What is the total moment in the first record?
0.000 μB per formula unit